# 1
DFT (PBE-GGA) results for an optimized crystal structure of BMoN3.

E_form (uncorrected) = 1064 meV/atom
DOS at the Fermi energy = 3.477 states/eV per cell

a = 3.356 Å, b = 3.356 Å, c = 3.356 Å
α = 90.00°, β = 90.00°, γ = 90.00°
Fractional coordinates of all 5 atoms:
N1 0.500 0.000 0.000
N2 0.000 0.500 0.000
N3 0.000 0.000 0.500
B1 0.000 0.000 0.000
Mo1 0.500 0.500 0.500


# 2
DFT (PBE-GGA) results for an optimized crystal structure of NpZn3Rh4.

calculated formation energy = -0.45 eV/atom
DOS at the Fermi energy = 12.665 states/eV per cell

a = 4.405 Å, b = 6.278 Å, c = 8.811 Å
α = 90.00°, β = 90.00°, γ = 90.00°
Site moments in Bohr magnetons follow the coordinates.
Fractional coordinates of all 16 atoms:
Rh1 0.500 0.759 0.500  -0.13
Rh2 0.000 0.759 0.750  -0.13
Rh3 0.000 0.241 0.750  -0.13
Rh4 0.500 0.241 0.000  -0.13
Rh5 0.500 0.759 0.000  -0.13
Rh6 0.000 0.759 0.250  -0.13
Rh7 0.000 0.241 0.250  -0.13
Rh8 0.500 0.241 0.500  -0.13
Zn1 0.500 0.000 0.750  0.01
Zn2 0.500 0.500 0.750  0.00
Zn3 0.000 0.000 0.500  0.00
Zn4 0.500 0.500 0.250  0.00
Zn5 0.500 0.000 0.250  0.01
Zn6 0.000 0.000 0.000  0.00
Np1 0.000 0.500 0.500  2.81
Np2 0.000 0.500 0.000  2.81